Computed, not measured: an optimized crystal structure of HfMoF2 at the PBE with a Hubbard U level of DFT.

Structure (extended XYZ):
```
4
Lattice="0.000 3.126 3.126 3.126 0.000 3.126 3.126 3.126 0.000" Properties=species:S:1:pos:R:3 pbc="T T T"
Hf 0.000 0.000 0.000
Mo 3.126 3.126 3.126
F 1.563 1.563 1.563
F 4.690 4.690 4.690
```

Output
The calculation puts the polymorph energy (0 for the lowest one) at 0.7297 eV per atom. Its space-group type is Fm-3m. Its density of states at the Fermi level is 3.545 states/eV/cell.